BMo3As PBEsol relaxed; density of states at the Fermi level = 0.9380 states/eV per atom
1.0
4.501 0.000 0.000
0.000 4.501 0.000
0.000 0.000 4.501
Mo B As
3 1 1
Cartesian
0.000 2.250 0.000
0.000 0.000 2.250
2.250 0.000 0.000
2.250 2.250 2.250
0.000 0.000 0.000

CrAu3 PBEsol relaxed; density of states at the Fermi level = 0.5708 states/eV per atom
1.0
-1.691 -2.561 -0.444
3.183 -2.511 2.357
-2.129 2.673 3.519
Cr Au
1 3
Cartesian
1.592 -1.255 1.178
-0.704 0.068 2.288
0.066 -2.466 3.144
-0.846 -1.280 -0.222

no.,formation energy (eV/f.u.),uncorrected energy (Ry per atom),total magnetic moment (μB/f.u.)
1,10.3,-0.5457,0.00
2,0.6,-0.3940,3.88